Compound: NbNiIr
Source: Alexandria
Functional: PBE-GGA
Structure: optimized geometry

Cell: 3.813 3.818 12.033 Å, 90.00 90.00 90.00°
Sites, in units of the cell vectors:
Nb: 0.500 0.500 0.573
Nb: 0.500 0.000 0.073
Nb: 0.000 0.000 0.882
Nb: 0.000 0.500 0.382
Ir: 0.000 0.000 0.558
Ir: 0.000 0.500 0.731
Ir: 0.000 0.500 0.058
Ir: 0.000 0.000 0.231
Ni: 0.500 0.500 0.229
Ni: 0.500 0.000 0.399
Ni: 0.500 0.500 0.899
Ni: 0.500 0.000 0.729

Results
Energy relative to the elements = -361.1 meV/atom
ρ = 13.04 g cm⁻³
Energy = -8.598 eV per atom